(1)
Entry from Alexandria: a geometry-optimized LiRe3Os structure (PBE).

Output
E above lowest polymorph = 4.021 eV per formula unit
energy of formation from the pure elements = 2.0501 eV per atom
DFT total energy = -40.2 eV for the cell shown
N(E_F) = 1.0520 states/eV/atom
SG = Pm-3m (221)

POSCAR file:
```
LiRe3Os
1.0
-3.791 0.889 2.733
-2.533 -3.172 -2.482
1.358 -3.433 3.001
Re Li Os
3 1 1
direct
0.500 0.000 0.000
0.000 0.500 0.000
0.000 0.000 0.500
0.500 0.500 0.500
0.000 0.000 0.000
```

***

(2)
Entry from Alexandria: a geometry-optimized LiCoSb2 structure (PBE).

Output
E above lowest polymorph = 0.835 eV per formula unit
E_form (uncorrected) = 0.06 eV/atom
DFT total energy = -17.0 eV for the cell shown
N(E_F) = 0.8616 states/eV/atom
SG = C2/m (12)

POSCAR file:
```
LiCoSb2
1.0
-3.919 0.806 2.025
1.842 -0.994 3.966
0.934 3.475 0.450
Li Sb Co
1 2 1
direct
0.000 0.500 0.500
0.500 0.500 0.000
0.000 0.000 0.000
0.500 0.000 0.500
```

***

(3)
Entry from Alexandria: a geometry-optimized Mg5In3Ga3 structure (PBE).

Output
energy of formation from the pure elements = 0.0865 eV per atom
DFT total energy = -24.3 eV for the cell shown
N(E_F) = 0.3613 states/eV/atom
SG = P-62m (189)

POSCAR file:
```
Mg5In3Ga3
1.0
-1.341 1.148 -4.013
-4.735 -7.280 -0.500
-3.517 7.261 3.252
In Ga Mg
3 3 5
direct
0.000 0.000 0.550
0.000 0.450 0.450
0.000 0.550 0.000
0.500 0.356 0.000
0.500 0.644 0.644
0.500 0.000 0.356
0.500 0.333 0.667
0.500 0.783 0.000
0.500 0.667 0.333
0.500 0.217 0.217
0.500 0.000 0.783
```

***

(4)
Entry from Alexandria: a geometry-optimized CeNpNi4 structure (PBE).

Output
energy of formation from the pure elements = -0.2454 eV per atom
DFT total energy = -43.5 eV for the cell shown
N(E_F) = 2.1541 states/eV/atom
SG = F-43m (216)

POSCAR file:
```
CeNpNi4
1.0
-1.785 -2.964 -3.673
-1.761 -4.599 1.101
-4.947 -0.945 -0.298
Ni Np Ce
4 1 1
direct
0.624 0.127 0.624
0.624 0.624 0.624
0.127 0.624 0.624
0.624 0.624 0.127
0.250 0.250 0.250
0.000 0.000 0.000
```

***

(5)
Entry from Alexandria: a geometry-optimized PIrAu2 structure (PBE).

Output
energy of formation from the pure elements = -0.1100 eV per atom
DFT total energy = -21.3 eV for the cell shown
N(E_F) = 0.0558 states/eV/atom
SG = P3m1 (156)

POSCAR file:
```
PIrAu2
1.0
3.322 0.000 0.000
-1.661 2.877 0.000
0.000 0.000 7.724
Ir P Au
1 1 2
direct
0.333 0.667 0.820
0.667 0.333 0.973
0.667 0.333 0.276
0.000 0.000 0.547
```

***

(6)
Entry from Alexandria: a geometry-optimized RbSnF3 structure (PBE).

Output
E_form (uncorrected) = -2.40 eV/atom
DFT total energy = -90.3 eV for the cell shown
N(E_F) = 0.0000 states/eV/atom
SG = Fd-3m (227)

POSCAR file:
```
RbSnF3
1.0
-8.029 -2.038 2.345
-5.914 6.186 0.929
-6.444 0.680 -5.668
Rb F Sn
4 12 4
direct
0.125 0.125 0.125
0.625 0.125 0.125
0.125 0.125 0.625
0.125 0.625 0.125
0.284 0.284 0.716
0.284 0.716 0.716
0.284 0.716 0.284
0.716 0.716 0.284
0.716 0.284 0.716
0.534 0.534 0.966
0.966 0.534 0.966
0.966 0.966 0.534
0.534 0.966 0.966
0.716 0.284 0.284
0.966 0.534 0.534
0.534 0.966 0.534
0.625 0.625 0.125
0.125 0.625 0.625
0.625 0.625 0.625
0.625 0.125 0.625
```

***

(7)
Entry from Alexandria: a geometry-optimized Sr2CuHPb structure (PBE).

Output
DFT total energy = -16.0 eV for the cell shown
N(E_F) = 0.2855 states/eV/atom
SG = P4/mmm (123)

POSCAR file:
```
Sr2CuHPb
1.0
5.631 0.000 0.000
0.000 5.631 0.000
0.000 0.000 3.886
Cu H Sr Pb
1 1 2 1
direct
0.000 0.000 0.500
0.000 0.000 0.000
0.500 0.000 0.000
0.000 0.500 0.000
0.500 0.500 0.500
```

***

(8)
Entry from Alexandria: a geometry-optimized KMgP2Pd4 structure (PBE).

Output
energy of formation from the pure elements = -0.4696 eV per atom
DFT total energy = -38.0 eV for the cell shown
N(E_F) = 0.6213 states/eV/atom
SG = P4/mmm (123)

POSCAR file:
```
KMgP2Pd4
1.0
4.093 0.000 0.000
0.000 4.093 0.000
0.000 0.000 9.938
Pd P Mg K
4 2 1 1
direct
0.500 0.000 0.186
0.500 0.000 0.814
0.000 0.500 0.186
0.000 0.500 0.814
0.500 0.500 0.705
0.500 0.500 0.295
0.000 0.000 0.000
0.000 0.000 0.500
```

***

(9)
Entry from Alexandria: a geometry-optimized TaTlAg3 structure (PBE).

Output
E above lowest polymorph = 1.692 eV per formula unit
energy of formation from the pure elements = 1.5787 eV per atom
DFT total energy = -14.9 eV for the cell shown
N(E_F) = 0.5443 states/eV/atom
SG = Pm-3m (221)

POSCAR file:
```
TaTlAg3
1.0
-1.946 3.754 -2.893
-1.276 -3.427 -3.588
-4.564 -0.642 2.236
Tl Ag Ta
1 3 1
direct
0.000 0.000 0.000
0.000 0.500 0.000
0.000 0.000 0.500
0.500 0.000 0.000
0.500 0.500 0.500
```

***

(10)
Entry from Alexandria: a geometry-optimized Pu5SnRu6 structure (PBE).

Output
energy of formation from the pure elements = -0.1590 eV per atom
DFT total energy = -133.2 eV for the cell shown
N(E_F) = 2.2976 states/eV/atom
SG = P-1 (2)

POSCAR file:
```
Pu5SnRu6
1.0
4.525 0.013 -1.320
-0.904 5.861 -3.044
-0.048 0.528 8.287
Ru Pu Sn
6 5 1
direct
0.162 0.412 0.326
0.500 0.745 0.999
0.500 0.255 0.001
0.838 0.588 0.674
0.163 0.914 0.327
0.837 0.086 0.673
0.659 0.159 0.319
0.329 0.329 0.657
0.671 0.671 0.343
0.341 0.841 0.681
0.000 0.500 0.000
0.000 0.000 0.000
```

***

(11)
Entry from Alexandria: a geometry-optimized CuWAu3 structure (PBE).

Output
E above lowest polymorph = 0.598 eV per formula unit
energy of formation from the pure elements = 1.4270 eV per atom
DFT total energy = -19.7 eV for the cell shown
N(E_F) = 0.5977 states/eV/atom
SG = Pm-3m (221)

POSCAR file:
```
CuWAu3
1.0
-0.644 -4.709 -1.722
4.592 -1.251 1.704
-2.013 -1.347 4.437
Au W Cu
3 1 1
direct
0.000 0.500 0.000
0.500 0.000 0.000
0.000 0.000 0.500
0.000 0.000 0.000
0.500 0.500 0.500
```

***

(12)
Entry from Alexandria: a geometry-optimized LiAu3F9 structure (PBE).

Output
E_form (uncorrected) = -1.26 eV/atom
DFT total energy = -90.0 eV for the cell shown
N(E_F) = 0.0074 states/eV/atom
SG = Cc (9)

POSCAR file:
```
LiAu3F9
1.0
5.677 0.000 2.389
2.913 8.302 1.017
-0.438 -1.328 8.981
Au Li F
6 2 18
direct
0.861 0.126 0.248
0.765 0.626 0.748
0.159 0.929 0.841
0.461 0.686 0.195
0.657 0.186 0.695
0.071 0.429 0.341
0.301 0.038 0.454
0.207 0.538 0.954
0.240 0.068 0.683
0.131 0.234 0.192
0.613 0.020 0.304
0.444 0.734 0.692
0.534 0.573 0.978
0.063 0.520 0.804
0.367 0.898 0.126
0.713 0.972 0.763
0.888 0.125 0.995
0.552 0.472 0.263
0.993 0.625 0.495
0.069 0.789 0.992
0.609 0.398 0.626
0.151 0.289 0.492
0.380 0.799 0.408
0.008 0.568 0.183
0.413 0.299 0.908
0.915 0.073 0.478
```

***

(13)
Entry from Alexandria: a geometry-optimized Mg3Ag2Ir structure (PBE).

Output
energy of formation from the pure elements = -0.2706 eV per atom
DFT total energy = -41.9 eV for the cell shown
N(E_F) = 0.3706 states/eV/atom
SG = Cmmm (65)

POSCAR file:
```
Mg3Ag2Ir
1.0
-1.952 3.937 -0.698
-4.716 -0.738 -5.158
-4.916 -1.600 4.724
Ag Mg Ir
4 6 2
direct
0.000 0.000 0.000
0.336 0.329 0.500
0.000 0.000 0.500
0.664 0.671 0.500
0.500 0.000 0.764
0.828 0.344 0.772
0.500 0.000 0.236
0.172 0.656 0.772
0.172 0.656 0.228
0.828 0.344 0.228
0.664 0.672 0.000
0.336 0.328 0.000
```

***

(14)
Entry from Alexandria: a geometry-optimized NaTmTi2O6 structure (PBE).

Output
E above lowest polymorph = 0.000 eV per formula unit
E_form (uncorrected) = -3.03 eV/atom
DFT total energy = -163.3 eV for the cell shown
N(E_F) = 0.0000 states/eV/atom
SG = Pmn2_1 (31)

POSCAR file:
```
NaTmTi2O6
1.0
-2.221 -4.688 1.100
4.839 -2.511 -0.931
1.843 0.842 7.311
O Ti Na Tm
12 4 2 2
direct
0.419 0.222 0.000
0.186 0.441 0.306
0.919 0.778 0.500
0.778 0.037 0.793
0.610 0.277 0.500
0.278 0.963 0.293
0.686 0.559 0.194
0.686 0.559 0.806
0.110 0.723 0.000
0.278 0.963 0.707
0.778 0.037 0.207
0.186 0.441 0.694
0.514 0.266 0.247
0.014 0.734 0.253
0.514 0.266 0.753
0.014 0.734 0.747
0.996 0.284 0.000
0.496 0.716 0.500
0.519 0.826 0.000
0.019 0.174 0.500
```

***

(15)
Entry from Alexandria: a geometry-optimized NaSnPt structure (PBE).

Output
energy of formation from the pure elements = -0.3725 eV per atom
DFT total energy = -25.0 eV for the cell shown
N(E_F) = 0.3370 states/eV/atom
SG = P2_1/m (11)

POSCAR file:
```
NaSnPt
1.0
5.086 0.000 0.000
0.000 5.265 -0.114
0.000 -1.256 5.600
Na Pt Sn
2 2 2
direct
0.250 0.263 0.044
0.750 0.737 0.956
0.250 0.357 0.564
0.750 0.643 0.436
0.750 0.179 0.556
0.250 0.821 0.444
```

***

(16)
Entry from Alexandria: a geometry-optimized TlMoPCl2 structure (PBE).

Output
E above lowest polymorph = 5.882 eV per formula unit
E_form (uncorrected) = 0.95 eV/atom
DFT total energy = -17.5 eV for the cell shown
N(E_F) = 0.6009 states/eV/atom
SG = P4/mmm (123)

POSCAR file:
```
TlMoPCl2
1.0
-1.636 -1.256 -4.878
-2.435 -4.292 1.922
-4.389 2.823 0.744
Cl Tl P Mo
2 1 1 1
direct
0.000 0.500 0.000
0.500 0.000 0.000
0.000 0.000 0.000
0.000 0.000 0.500
0.500 0.500 0.500
```

***

(17)
Entry from Alexandria: a geometry-optimized KTbHo4Se8 structure (PBE).

Output
E_form (uncorrected) = -1.74 eV/atom
DFT total energy = -76.3 eV for the cell shown
N(E_F) = 0.0000 states/eV/atom
SG = R3m (160)

POSCAR file:
```
KTbHo4Se8
1.0
8.545 0.000 0.000
4.273 7.400 0.000
4.273 2.467 7.018
Se Tb Ho K
8 1 4 1
direct
0.796 0.236 0.732
0.236 0.796 0.732
0.236 0.236 0.732
0.758 0.758 0.727
0.234 0.234 0.298
0.757 0.228 0.259
0.228 0.757 0.259
0.757 0.757 0.259
0.005 0.005 0.985
0.005 0.005 0.505
0.005 0.486 0.505
0.625 0.625 0.124
0.486 0.005 0.505
0.374 0.374 0.879
```

***

(18)
Entry from Alexandria: a geometry-optimized SrZnRu3 structure (PBE).

Output
E above lowest polymorph = 0.000 eV per formula unit
energy of formation from the pure elements = 1.1150 eV per atom
DFT total energy = -25.2 eV for the cell shown
N(E_F) = 1.8914 states/eV/atom
SG = Pm-3m (221)

POSCAR file:
```
SrZnRu3
1.0
-0.492 -2.098 4.185
0.279 -4.214 -2.080
4.674 0.031 0.565
Ru Zn Sr
3 1 1
direct
0.000 0.500 0.000
0.500 0.000 0.000
0.000 0.000 0.500
0.000 0.000 0.000
0.500 0.500 0.500
```

***

(19)
Entry from Alexandria: a geometry-optimized CaPtPb4 structure (PBE).

Output
energy of formation from the pure elements = 0.1907 eV per atom
DFT total energy = -21.7 eV for the cell shown
N(E_F) = 0.6445 states/eV/atom
SG = F-43m (216)

POSCAR file:
```
CaPtPb4
1.0
0.000 4.477 4.477
4.477 0.000 4.477
4.477 4.477 0.000
Pb Pt Ca
4 1 1
direct
0.375 0.375 0.375
0.375 0.874 0.375
0.874 0.375 0.375
0.375 0.375 0.874
0.750 0.750 0.750
0.000 0.000 0.000
```

***

(20)
Entry from Alexandria: a geometry-optimized TlCdInGa structure (PBE).

Output
E above lowest polymorph = 0.000 eV per formula unit
energy of formation from the pure elements = 0.0599 eV per atom
DFT total energy = -8.8 eV for the cell shown
N(E_F) = 0.4545 states/eV/atom
SG = Pm (6)

POSCAR file:
```
TlCdInGa
1.0
3.186 0.001 0.051
0.002 3.914 0.003
-1.462 -0.006 8.235
Tl In Ga Cd
1 1 1 1
direct
0.256 0.430 0.569
0.472 0.929 0.885
0.055 0.429 0.101
0.648 0.930 0.306
```

***

(21)
Entry from Alexandria: a geometry-optimized Ba2AgHgAu structure (PBE).

Output
energy of formation from the pure elements = -0.4941 eV per atom
DFT total energy = -25.5 eV for the cell shown
N(E_F) = 0.4511 states/eV/atom
SG = P2_1/m (11)

POSCAR file:
```
Ba2AgHgAu
1.0
-2.645 -3.290 2.622
1.064 -5.906 -6.335
6.154 -0.504 5.575
Ba Ag Hg Au
4 2 2 2
direct
0.250 0.162 0.364
0.750 0.838 0.636
0.750 0.712 0.066
0.250 0.288 0.934
0.750 0.430 0.302
0.250 0.570 0.698
0.750 0.375 0.658
0.250 0.625 0.342
0.750 0.095 0.065
0.250 0.905 0.935
```

***

(22)
Entry from Alexandria: a geometry-optimized CeSO4F structure (PBE).

Output
E_form (uncorrected) = -2.44 eV/atom
DFT total energy = -97.7 eV for the cell shown
N(E_F) = 1.1472 states/eV/atom
SG = C2/m (12)

POSCAR file:
```
CeSO4F
1.0
5.906 -0.275 -0.054
1.697 5.664 -0.054
1.486 1.053 6.424
F O S Ce
2 8 2 2
direct
0.024 0.024 0.179
0.976 0.976 0.821
0.149 0.475 0.156
0.488 0.488 0.745
0.737 0.737 0.514
0.263 0.263 0.486
0.851 0.525 0.844
0.475 0.149 0.156
0.512 0.512 0.255
0.525 0.851 0.844
0.353 0.353 0.270
0.647 0.647 0.730
0.211 0.211 0.865
0.789 0.789 0.135
```

***

(23)
Entry from Alexandria: a geometry-optimized KScNiS3 structure (PBE).

Output
E_form (uncorrected) = -1.25 eV/atom
DFT total energy = -66.2 eV for the cell shown
N(E_F) = 0.2909 states/eV/atom
SG = P2_1/m (11)

POSCAR file:
```
KScNiS3
1.0
3.768 0.000 0.000
0.000 8.531 0.492
0.000 -3.597 8.414
Ni Sc S K
2 2 6 2
direct
0.750 0.920 0.402
0.250 0.080 0.598
0.750 0.333 0.862
0.250 0.667 0.138
0.250 0.810 0.455
0.750 0.465 0.156
0.250 0.123 0.856
0.750 0.190 0.545
0.250 0.535 0.844
0.750 0.877 0.144
0.750 0.797 0.769
0.250 0.203 0.231
```